1.
Entry from Alexandria via LeMat-Bulk: LiNp2Si4Pt3 after structural relaxation (PBE-GGA).

Values from the calculation:
Uncorrected energy, eV/atom: -7.415

Cell: 4.1715 4.1715 9.9823 Å, 90.00 90.00 90.00°
Last column: nearest neighbours and their distance in Å.
Fractional coordinates of all 10 atoms:
Li 0.5000 0.5000 0.5000  4 Si 2.49
Np 0.5000 0.0000 0.2522  8 Si 3.15-3.27, 6 Pt 3.22-3.24, 2 Li 3.24
Np 0.0000 0.5000 0.7478  8 Si 3.15-3.27, 6 Pt 3.22-3.24, 2 Li 3.24
Si 0.5000 0.5000 0.0000  4 Pt 2.42
Si 0.0000 0.0000 0.0000  4 Pt 2.42
Si 0.5000 0.0000 0.6366  3 Pt 2.40-2.49, 2 Li 2.49
Si 0.0000 0.5000 0.3634  3 Pt 2.40-2.49, 2 Li 2.49
Pt 0.0000 0.0000 0.5000  4 Si 2.49
Pt 0.5000 0.0000 0.8775  5 Si 2.40-2.42
Pt 0.0000 0.5000 0.1225  5 Si 2.40-2.42

2.
Entry from Alexandria via LeMat-Bulk: LiPuNp after structural relaxation (PBE-GGA).

Values from the calculation:
Formation energy from the elements, meV per atom: 217

Cell: 3.4352 3.4352 12.3425 Å, 68.73 68.73 74.14°
Last column: nearest neighbours and their distance in Å.
Fractional coordinates of all 6 atoms:
Li 0.5278 0.5278 0.2327  2 Li 2.71
Li 0.2254 0.2254 0.0747  2 Li 2.71
Pu 0.7571 0.7571 0.4411  3 Np 2.38-2.44
Pu 0.9961 0.9961 0.8663  3 Np 2.38-2.44
Np 0.2698 0.2698 0.5434  3 Pu 2.38-2.44
Np 0.4834 0.4834 0.7639  3 Pu 2.38-2.44

3.
Entry from Alexandria via LeMat-Bulk: Li4PuNp3S8 after structural relaxation (PBE-GGA).

Values from the calculation:
Uncorrected energy, eV/atom: -7.249

Cell: 7.9114 7.6472 7.9114 Å, 121.16 120.00 90.00°
Last column: nearest neighbours and their distance in Å.
Fractional coordinates of all 16 atoms:
Li 0.5000 0.0000 0.0000  6 S 2.72
Li 0.5000 0.0000 0.5000  6 S 2.75-2.76
Li 0.0000 0.0000 0.0000  6 S 2.75-2.76
Li 0.0000 0.0000 0.5000  6 S 2.75-2.76
Pu 0.0000 0.5000 0.0000  6 S 2.78
Np 0.5000 0.5000 0.0000  6 S 2.74-2.75
Np 0.5000 0.5000 0.5000  6 S 2.74-2.75
Np 0.0000 0.5000 0.5000  6 S 2.74-2.75
S 0.2530 0.7532 0.0002  3 Li 2.72-2.75, 2 Np 2.75, 1 Pu 2.78
S 0.2530 0.7532 0.5059  3 Li 2.72-2.75, 2 Np 2.75, 1 Pu 2.78
S 0.2506 0.2517 0.5011  3 Np 2.74, 3 Li 2.76
S 0.7472 0.7532 0.0002  3 Li 2.72-2.75, 2 Np 2.75, 1 Pu 2.78
S 0.2528 0.2468 0.9998  3 Li 2.72-2.75, 2 Np 2.75, 1 Pu 2.78
S 0.7494 0.7483 0.4989  3 Np 2.74, 3 Li 2.76
S 0.7470 0.2468 0.4941  3 Li 2.72-2.75, 2 Np 2.75, 1 Pu 2.78
S 0.7470 0.2468 0.9998  3 Li 2.72-2.75, 2 Np 2.75, 1 Pu 2.78

4.
Entry from Alexandria via LeMat-Bulk: LiPuNp2S4 after structural relaxation (PBE-GGA).

Values from the calculation:
Uncorrected energy, eV/atom: -8.747

Cell: 3.8967 6.7397 6.8049 Å, 109.65 90.00 90.00°
Last column: nearest neighbours and their distance in Å.
Fractional coordinates of all 8 atoms:
Li 0.5000 0.5000 0.0000  6 S 2.74
Pu 0.0000 0.0000 0.0000  6 S 2.77-2.79
Np 0.5000 0.0000 0.5000  6 S 2.78-2.79
Np 0.0000 0.5000 0.5000  6 S 2.74-2.75
S 0.5000 0.2538 0.2492  1 Li 2.74, 3 Np 2.75-2.79, 2 Pu 2.77
S 0.5000 0.7462 0.7508  1 Li 2.74, 3 Np 2.75-2.79, 2 Pu 2.77
S 0.0000 0.2560 0.7516  2 Li 2.74, 3 Np 2.74-2.78, 1 Pu 2.79
S 0.0000 0.7440 0.2484  2 Li 2.74, 3 Np 2.74-2.78, 1 Pu 2.79

5.
Entry from Alexandria via LeMat-Bulk: LiPu2NpS6 after structural relaxation (PBE-GGA).

Values from the calculation:
Uncorrected energy, eV/atom: -7.900

Cell: 6.5297 6.1542 6.1542 Å, 90.00 90.00 90.00°
Last column: nearest neighbours and their distance in Å.
Fractional coordinates of all 10 atoms:
Li 0.5266 0.0000 0.0000  5 S 2.36-2.52
Pu 0.0087 0.5000 0.0000  4 S 2.78
Pu 0.0087 0.0000 0.5000  4 S 2.78
Np 0.5841 0.5000 0.5000  5 S 2.50-2.67
S 0.7445 0.2391 0.2391  1 Np 2.50, 1 Li 2.52, 2 Pu 2.78
S 0.7445 0.2391 0.7609  1 Np 2.50, 1 Li 2.52, 2 Pu 2.78
S 0.1752 0.5000 0.5000  1 Np 2.67
S 0.1655 0.0000 0.0000  1 Li 2.36
S 0.7445 0.7609 0.7609  1 Np 2.50, 1 Li 2.52, 2 Pu 2.78
S 0.7445 0.7609 0.2391  1 Np 2.50, 1 Li 2.52, 2 Pu 2.78

6.
Entry from Alexandria via LeMat-Bulk: Li2PuNp3S6 after structural relaxation (PBE-GGA).

Values from the calculation:
Uncorrected energy, eV/atom: -8.211

Cell: 3.9054 7.7647 8.7222 Å, 102.64 102.94 90.00°
Last column: nearest neighbours and their distance in Å.
Fractional coordinates of all 12 atoms:
Li 0.8288 0.6591 0.6576  6 S 2.68-2.82
Li 0.1712 0.3409 0.3424  6 S 2.68-2.82
Pu 0.5000 0.0000 0.0000  6 S 2.76-2.79
Np 0.5000 0.5000 0.0000  6 S 2.75-2.77
Np 0.8320 0.1734 0.6640  6 S 2.71-2.80
Np 0.1680 0.8266 0.3360  6 S 2.71-2.80
S 0.3318 0.9176 0.6635  3 Np 2.71-2.79, 1 Pu 2.79, 2 Li 2.79
S 0.6670 0.5777 0.3340  3 Li 2.68-2.69, 3 Np 2.74-2.77
S 0.6682 0.0824 0.3365  3 Np 2.71-2.79, 1 Pu 2.79, 2 Li 2.79
S 0.0011 0.2520 0.0021  3 Np 2.75-2.80, 2 Pu 2.76, 1 Li 2.82
S 0.9989 0.7480 0.9979  3 Np 2.75-2.80, 2 Pu 2.76, 1 Li 2.82
S 0.3330 0.4223 0.6660  3 Li 2.68-2.69, 3 Np 2.74-2.77

7.
Entry from Alexandria via LeMat-Bulk: Li3PuNp2S6 after structural relaxation (PBE-GGA).

Values from the calculation:
Uncorrected energy, eV/atom: -7.334

Cell: 6.8347 6.8347 6.5173 Å, 100.07 100.07 120.00°
Last column: nearest neighbours and their distance in Å.
Fractional coordinates of all 12 atoms:
Li 0.1673 0.8327 0.5000  6 S 2.71-2.75
Li 0.8327 0.1673 0.5000  6 S 2.71-2.75
Li 0.5000 0.5000 0.5000  6 S 2.71-2.75
Pu 0.0000 0.0000 0.0000  6 S 2.77
Np 0.3335 0.6665 0.0000  6 S 2.73-2.74
Np 0.6665 0.3335 0.0000  6 S 2.73-2.74
S 0.9166 0.5794 0.7495  3 Li 2.71-2.75, 2 Np 2.73, 1 Pu 2.77
S 0.7469 0.7469 0.2519  3 Li 2.71-2.75, 2 Np 2.74, 1 Pu 2.77
S 0.0834 0.4206 0.2505  3 Li 2.71-2.75, 2 Np 2.73, 1 Pu 2.77
S 0.5794 0.9166 0.7495  3 Li 2.71-2.75, 2 Np 2.73, 1 Pu 2.77
S 0.2531 0.2531 0.7481  3 Li 2.71-2.75, 2 Np 2.74, 1 Pu 2.77
S 0.4206 0.0834 0.2505  3 Li 2.71-2.75, 2 Np 2.73, 1 Pu 2.77

8.
Entry from Alexandria via LeMat-Bulk: LiPu3Np4S8 after structural relaxation (PBE-GGA).

Values from the calculation:
Uncorrected energy, eV/atom: -9.585

Cell: 7.7942 7.8370 7.8151 Å, 120.08 119.91 90.00°
Last column: nearest neighbours and their distance in Å.
Fractional coordinates of all 16 atoms:
Li 0.0000 0.5000 0.0000  6 S 2.73
Pu 0.5000 0.5000 0.0000  6 S 2.77
Pu 0.5000 0.5000 0.5000  6 S 2.77-2.78
Pu 0.0000 0.5000 0.5000  6 S 2.77-2.78
Np 0.5000 0.0000 0.0000  6 S 2.79-2.80
Np 0.5000 0.0000 0.5000  6 S 2.75-2.76
Np 0.0000 0.0000 0.0000  6 S 2.76
Np 0.0000 0.0000 0.5000  6 S 2.75-2.76
S 0.2482 0.7487 0.0024  1 Li 2.73, 3 Np 2.75-2.79, 2 Pu 2.77-2.78
S 0.2470 0.7495 0.4940  1 Li 2.73, 3 Np 2.75-2.80, 2 Pu 2.78
S 0.2494 0.2488 0.4988  3 Np 2.76, 3 Pu 2.77
S 0.7542 0.7487 0.0024  1 Li 2.73, 3 Np 2.75-2.79, 2 Pu 2.77-2.78
S 0.2458 0.2513 0.9976  1 Li 2.73, 3 Np 2.75-2.79, 2 Pu 2.77-2.78
S 0.7506 0.7512 0.5012  3 Np 2.76, 3 Pu 2.77
S 0.7530 0.2505 0.5060  1 Li 2.73, 3 Np 2.75-2.80, 2 Pu 2.78
S 0.7518 0.2513 0.9976  1 Li 2.73, 3 Np 2.75-2.79, 2 Pu 2.77-2.78